3
Lattice="-1.954 1.954 3.414 1.954 -1.954 3.414 1.954 1.954 -3.414" Properties=species:S:1:pos:R:3 comment="TbPH (GGA-PBE, relaxed)" de_polymorph_mev_per_atom=271 pbc="T T T"
Tb 0.000 0.000 0.000
P 0.000 0.000 2.823
H 0.000 0.000 4.389

---

3
Lattice="3.711 0.000 0.000 -1.855 3.214 0.000 0.000 0.000 4.028" Properties=species:S:1:pos:R:3 comment="TbPH (GGA-PBE, relaxed)" de_polymorph_mev_per_atom=72 pbc="T T T"
Tb 0.000 0.000 0.000
P 1.855 1.071 2.014
H 0.000 2.142 0.000

---

8
Lattice="-2.266 2.266 5.051 2.266 -2.266 5.051 2.266 2.266 -5.051" Properties=species:S:1:pos:R:3 comment="Tc2PH (GGA-PBE, relaxed)" de_polymorph_mev_per_atom=465 pbc="T T T"
Tc 3.399 0.660 -1.263
Tc 0.660 1.133 1.263
Tc -1.133 1.607 3.788
Tc 1.607 1.133 6.314
P 2.266 0.000 2.525
P 0.000 0.000 5.051
H 0.000 0.000 0.000
H 0.000 2.266 2.525

---

5
Lattice="3.889 0.000 0.000 0.000 3.889 0.000 0.000 0.000 3.889" Properties=species:S:1:pos:R:3 comment="TcP3H (GGA-PBE, relaxed)" de_polymorph_mev_per_atom=0 pbc="T T T"
Tc 0.000 0.000 0.000
P 0.000 1.945 1.945
P 1.945 0.000 1.945
P 1.945 1.945 0.000
H 1.945 1.945 1.945

---

3
Lattice="3.477 0.000 0.000 -1.738 3.011 0.000 0.000 0.000 2.950" Properties=species:S:1:pos:R:3 comment="TcPH (GGA-PBE, relaxed)" de_polymorph_mev_per_atom=160 pbc="T T T"
Tc 0.000 0.000 0.000
P 1.738 1.004 1.475
H 0.000 2.007 0.000

---

16
Lattice="5.773 0.000 0.000 0.000 3.015 0.000 0.000 0.000 10.131" Properties=species:S:1:pos:R:3 comment="Tc2PH (GGA-PBE, relaxed)" de_polymorph_mev_per_atom=0 pbc="T T T"
Tc 0.862 0.754 2.226
Tc 1.149 0.754 9.469
Tc 1.738 2.261 4.403
Tc 2.025 2.261 7.292
Tc 3.748 0.754 2.839
Tc 4.035 0.754 5.728
Tc 4.625 2.261 0.662
Tc 4.912 2.261 7.905
P 0.573 0.754 6.190
P 2.314 2.261 1.124
P 3.460 0.754 9.007
P 5.200 2.261 3.941
H 0.119 2.261 9.428
H 2.768 0.754 4.362
H 3.006 2.261 5.769
H 5.654 0.754 0.704

---

6
Lattice="3.269 0.000 0.000 1.505 4.116 0.000 0.454 0.701 4.780" Properties=species:S:1:pos:R:3 comment="TcPH (GGA-PBE, relaxed)" de_polymorph_mev_per_atom=0 pbc="T T T"
Tc 0.686 0.970 0.999
Tc 4.542 3.846 3.781
P 1.362 1.501 3.337
P 3.866 3.316 1.444
H 2.902 3.147 3.801
H 2.326 1.669 0.979

---

5
Lattice="3.359 0.000 0.000 0.000 3.359 0.000 0.000 0.000 3.359" Properties=species:S:1:pos:R:3 comment="TcPH3 (GGA-PBE, relaxed)" de_polymorph_mev_per_atom=412 pbc="T T T"
Tc 0.000 0.000 0.000
P 1.679 1.679 1.679
H 0.000 1.679 1.679
H 1.679 0.000 1.679
H 1.679 1.679 0.000

---

5
Lattice="4.578 0.000 0.000 0.000 4.578 0.000 0.000 0.000 4.578" Properties=species:S:1:pos:R:3 comment="TcP3H (GGA-PBE, relaxed)" de_polymorph_mev_per_atom=157 pbc="T T T"
Tc 0.000 0.000 0.000
P 0.000 0.000 2.289
P 0.000 2.289 0.000
P 2.289 0.000 0.000
H 2.289 2.289 2.289

---

4
Lattice="0.000 2.828 2.828 2.828 0.000 2.828 2.828 2.828 0.000" Properties=species:S:1:pos:R:3 comment="Tc2PH (GGA-PBE, relaxed)" de_polymorph_mev_per_atom=406 pbc="T T T"
Tc 1.414 1.414 1.414
Tc 4.242 4.242 4.242
P 0.000 0.000 0.000
H 2.828 2.828 2.828

---

5
Lattice="3.472 0.000 0.000 0.000 3.472 0.000 0.000 0.000 3.472" Properties=species:S:1:pos:R:3 comment="TcPH3 (GGA-PBE, relaxed)" de_polymorph_mev_per_atom=0 pbc="T T T"
Tc 0.000 0.000 0.000
P 1.736 1.736 1.736
H 0.000 0.000 1.736
H 0.000 1.736 0.000
H 1.736 0.000 0.000

---

5
Lattice="3.879 0.000 0.000 0.000 3.879 0.000 0.000 0.000 3.879" Properties=species:S:1:pos:R:3 comment="Tc3PH (GGA-PBE, relaxed)" de_polymorph_mev_per_atom=0 pbc="T T T"
Tc 0.000 0.000 1.940
Tc 0.000 1.940 0.000
Tc 1.940 0.000 0.000
P 1.940 1.940 1.940
H 0.000 0.000 0.000

---

7
Lattice="-1.999 1.999 6.773 1.999 -1.999 6.773 1.999 1.999 -6.773" Properties=species:S:1:pos:R:3 comment="U2Tc2P2H (GGA-PBE, relaxed)" e_tot_ev_per_atom=-8.754 pbc="T T T"
U 0.000 0.000 2.305
U 0.000 0.000 11.241
Tc 1.999 0.000 0.000
Tc 0.000 1.999 0.000
P 0.000 0.000 5.218
P 0.000 0.000 8.329
H 0.000 0.000 0.000

---

10
Lattice="1.873 -5.064 0.000 1.873 5.064 0.000 0.000 0.000 6.110" Properties=species:S:1:pos:R:3 comment="YTcPH2 (GGA-PBE, relaxed)" e_tot_ev_per_atom=-6.484 pbc="T T T"
Y 1.873 2.914 4.583
Y 1.873 -2.914 1.528
Tc 1.873 0.000 0.000
Tc 1.873 0.000 3.055
P 1.873 4.353 1.528
P 1.873 -4.353 4.583
H 1.873 1.738 0.365
H 1.873 1.738 2.690
H 1.873 -1.738 3.420
H 1.873 -1.738 5.745

---

10
Lattice="1.839 -4.755 0.000 1.839 4.755 0.000 0.000 0.000 6.092" Properties=species:S:1:pos:R:3 comment="ZrTcPH2 (GGA-PBE, relaxed)" e_tot_ev_per_atom=-6.769 pbc="T T T"
Zr 1.839 2.637 4.569
Zr 1.839 -2.637 1.523
Tc 1.839 0.000 0.000
Tc 1.839 0.000 3.046
P 1.839 4.129 1.523
P 1.839 -4.129 4.569
H 1.839 1.745 0.393
H 1.839 1.745 2.654
H 1.839 -1.745 3.439
H 1.839 -1.745 5.700

---

8
Lattice="-3.308 3.308 3.805 3.308 -3.308 3.805 3.308 3.308 -3.805" Properties=species:S:1:pos:R:3 comment="Te2PH (GGA-PBE, relaxed)" de_polymorph_mev_per_atom=238 pbc="T T T"
Te 1.654 1.432 -0.951
Te 1.875 -1.654 4.757
Te 1.654 1.875 2.854
Te 1.432 4.961 0.951
P 3.308 0.000 1.903
P 0.000 0.000 3.805
H 0.000 0.000 0.000
H 0.000 3.308 1.903

---

4
Lattice="1.600 0.923 8.952 -1.600 0.923 8.952 0.000 -1.847 8.952" Properties=species:S:1:pos:R:3 comment="Te2PH (GGA-PBE, relaxed)" de_polymorph_mev_per_atom=470 pbc="T T T"
Te 0.000 0.000 2.744
Te 0.000 0.000 24.114
P 0.000 0.000 0.000
H 0.000 0.000 13.429

---

5
Lattice="5.173 0.000 0.000 0.000 5.173 0.000 0.000 0.000 5.173" Properties=species:S:1:pos:R:3 comment="TeP3H (GGA-PBE, relaxed)" de_polymorph_mev_per_atom=844 pbc="T T T"
Te 0.000 0.000 0.000
P 0.000 0.000 2.587
P 0.000 2.587 0.000
P 2.587 0.000 0.000
H 2.587 2.587 2.587

---

4
Lattice="0.000 3.386 3.386 3.386 0.000 3.386 3.386 3.386 0.000" Properties=species:S:1:pos:R:3 comment="Te2PH (GGA-PBE, relaxed)" de_polymorph_mev_per_atom=462 pbc="T T T"
Te 1.693 1.693 1.693
Te 5.079 5.079 5.079
P 0.000 0.000 0.000
H 3.386 3.386 3.386

---

5
Lattice="4.687 0.000 0.000 0.000 4.687 0.000 0.000 0.000 4.687" Properties=species:S:1:pos:R:3 comment="Te3PH (GGA-PBE, relaxed)" de_polymorph_mev_per_atom=0 pbc="T T T"
Te 0.000 0.000 2.343
Te 0.000 2.343 0.000
Te 2.343 0.000 0.000
P 2.343 2.343 2.343
H 0.000 0.000 0.000